No. 1
## La2Pm3Tl4 (PBE)

Data for an optimized crystal structure of La2Pm3Tl4.

Values from the calculation:
Energy of formation: -0.274 eV/atom
DOS(E_F): 0.87 states/eV/atom
Final energy: -72.07 eV per cell
Excess energy over the best structure of this formula in the dataset: 48 meV/atom

a b c (Å): 9.168 9.168 9.464
angles (deg): 90.00 90.00 132.36
Fractional positions:
La: 0.109 0.891 0.928
La: 0.391 0.609 0.428
La: 0.609 0.391 0.572
La: 0.891 0.109 0.072
Pm: 0.000 0.000 0.500
Pm: 0.032 0.468 0.750
Pm: 0.468 0.032 0.250
Pm: 0.500 0.500 0.000
Pm: 0.532 0.968 0.750
Pm: 0.968 0.532 0.250
Tl: 0.187 0.813 0.536
Tl: 0.220 0.280 0.750
Tl: 0.280 0.220 0.250
Tl: 0.313 0.687 0.036
Tl: 0.687 0.313 0.964
Tl: 0.720 0.780 0.750
Tl: 0.780 0.720 0.250
Tl: 0.813 0.187 0.464


No. 2
## NbCd2N2 (PBE)

Data for an optimized crystal structure of NbCd2N2.

Values from the calculation:
Formation energy without anion corrections: 7.21 eV per formula unit
DOS(E_F): 1.09 states/eV/atom
Final energy: -42.69 eV per cell
Excess energy over the best structure of this formula in the dataset: 1156 meV/atom

a b c (Å): 7.023 7.023 2.984
angles (deg): 90.00 90.00 90.00
Fractional positions:
Nb: 0.000 0.000 0.000
Nb: 0.500 0.500 0.000
Cd: 0.131 0.369 0.000
Cd: 0.369 0.869 0.000
Cd: 0.631 0.131 0.000
Cd: 0.869 0.631 0.000
N: 0.183 0.683 0.500
N: 0.317 0.183 0.500
N: 0.683 0.817 0.500
N: 0.817 0.317 0.500


No. 3
## NaHfSc2Ta (PBE)

Data for an optimized crystal structure of NaHfSc2Ta.

Values from the calculation:
Energy of formation: 1.415 eV/atom
DOS(E_F): 1.18 states/eV/atom
Final energy: -28.71 eV per cell

a b c (Å): 4.813 4.813 5.029
angles (deg): 90.00 90.00 90.00
Fractional positions:
Na: 0.000 0.000 0.000
Hf: 0.500 0.500 0.500
Sc: 0.000 0.500 0.000
Sc: 0.500 0.000 0.000
Ta: 0.000 0.000 0.500


No. 4
## Tl2CdS3 (PBE)

Data for an optimized crystal structure of Tl2CdS3.

Values from the calculation:
Formation energy without anion corrections: -1.48 eV per formula unit
DOS(E_F): 0.54 states/eV/atom
Final energy: -39.02 eV per cell

a b c (Å): 4.416 13.416 6.260
angles (deg): 90.00 90.00 90.00
Fractional positions:
Tl: 0.000 0.163 0.000
Tl: 0.000 0.837 0.000
Tl: 0.500 0.337 0.500
Tl: 0.500 0.663 0.500
Cd: 0.000 0.500 0.998
Cd: 0.500 0.000 0.498
S: 0.000 0.000 0.722
S: 0.000 0.340 0.766
S: 0.000 0.660 0.766
S: 0.500 0.160 0.266
S: 0.500 0.500 0.222
S: 0.500 0.840 0.266


No. 5
## In2Fe (PBE)

Data for an optimized crystal structure of In2Fe.

Values from the calculation:
Energy of formation: 0.209 eV/atom
DOS(E_F): 0.68 states/eV/atom
Final energy: -53.25 eV per cell

a b c (Å): 10.018 3.062 8.211
angles (deg): 90.00 97.67 90.00
Fractional positions:
In: 0.000 0.000 0.000
In: 0.060 0.000 0.474
In: 0.284 0.500 0.261
In: 0.354 0.000 0.673
In: 0.500 0.500 0.000
In: 0.560 0.500 0.474
In: 0.784 0.000 0.261
In: 0.854 0.500 0.673
Fe: 0.145 0.500 0.777
Fe: 0.262 0.000 0.975
Fe: 0.645 0.000 0.777
Fe: 0.762 0.500 0.975


No. 6
## Ce3NdRu8 (PBE)

Data for an optimized crystal structure of Ce3NdRu8.

Values from the calculation:
Energy of formation: -0.244 eV/atom
DOS(E_F): 1.02 states/eV/atom
Final energy: -99.71 eV per cell

a b c (Å): 9.338 9.338 9.338
angles (deg): 33.39 33.39 33.39
Fractional positions:
Ce: 0.000 0.000 0.000
Ce: 0.125 0.125 0.125
Ce: 0.626 0.626 0.626
Nd: 0.501 0.501 0.501
Ru: 0.061 0.563 0.563
Ru: 0.064 0.064 0.564
Ru: 0.064 0.564 0.064
Ru: 0.313 0.313 0.313
Ru: 0.563 0.061 0.563
Ru: 0.563 0.563 0.061
Ru: 0.564 0.064 0.064
Ru: 0.813 0.813 0.813


No. 7
## BaAcAg (PBE)

Data for an optimized crystal structure of BaAcAg.

Values from the calculation:
Energy of formation: -0.050 eV/atom
DOS(E_F): 1.18 states/eV/atom
Final energy: -18.07 eV per cell
Excess energy over the best structure of this formula in the dataset: 74 meV/atom

a b c (Å): 7.851 3.980 8.232
angles (deg): 90.00 105.10 90.00
Fractional positions:
Ba: 0.244 0.000 0.434
Ba: 0.756 0.000 0.566
Ac: 0.251 0.000 0.945
Ac: 0.749 0.000 0.055
Ag: 0.493 0.500 0.773
Ag: 0.507 0.500 0.227


No. 8
## CaTh2Au6 (PBE)

Data for an optimized crystal structure of CaTh2Au6.

Values from the calculation:
Energy of formation: -0.679 eV/atom
DOS(E_F): 0.77 states/eV/atom
Final energy: -42.61 eV per cell

a b c (Å): 8.322 8.322 3.466
angles (deg): 90.00 90.00 120.00
Fractional positions:
Ca: 0.000 0.000 0.000
Th: 0.333 0.667 0.000
Th: 0.667 0.333 0.000
Au: 0.000 0.332 0.500
Au: 0.000 0.668 0.500
Au: 0.332 0.000 0.500
Au: 0.332 0.332 0.500
Au: 0.668 0.000 0.500
Au: 0.668 0.668 0.500


No. 9
## InFeAs2Se (PBE)

Data for an optimized crystal structure of InFeAs2Se.

Values from the calculation:
Formation energy without anion corrections: 1.13 eV per formula unit
DOS(E_F): 0.83 states/eV/atom
Final energy: -22.85 eV per cell
Excess energy over the best structure of this formula in the dataset: 0 meV/atom

a b c (Å): 4.392 4.392 5.385
angles (deg): 90.00 90.00 90.00
Fractional positions:
In: 0.000 0.000 0.000
Fe: 0.500 0.500 0.500
As: 0.000 0.500 0.500
As: 0.500 0.000 0.500
Se: 0.500 0.500 0.000


No. 10
## Co2AsH (PBE)

Data for an optimized crystal structure of Co2AsH.

Values from the calculation:
DOS(E_F): 1.19 states/eV/atom
Final energy: -64.00 eV per cell
Excess energy over the best structure of this formula in the dataset: 133 meV/atom

a b c (Å): 3.889 3.889 12.672
angles (deg): 90.00 90.00 120.00
Fractional positions:
Co: 0.000 0.000 0.123
Co: 0.000 0.000 0.877
Co: 0.333 0.667 0.543
Co: 0.333 0.667 0.790
Co: 0.667 0.333 0.210
Co: 0.667 0.333 0.457
As: 0.000 0.000 0.500
As: 0.333 0.667 0.167
As: 0.667 0.333 0.833
H: 0.000 0.000 0.000
H: 0.333 0.667 0.667
H: 0.667 0.333 0.333


No. 11
## SmZnInGa (PBE)

Data for an optimized crystal structure of SmZnInGa.

Values from the calculation:
Energy of formation: -0.258 eV/atom
DOS(E_F): 0.78 states/eV/atom
Final energy: -51.16 eV per cell

a b c (Å): 7.061 7.061 7.061
angles (deg): 90.00 90.00 90.00
Fractional positions:
Sm: 0.000 0.000 0.000
Sm: 0.000 0.500 0.500
Sm: 0.500 0.000 0.500
Sm: 0.500 0.500 0.000
Zn: 0.250 0.250 0.750
Zn: 0.250 0.750 0.250
Zn: 0.750 0.250 0.250
Zn: 0.750 0.750 0.750
In: 0.000 0.000 0.500
In: 0.000 0.500 0.000
In: 0.500 0.000 0.000
In: 0.500 0.500 0.500
Ga: 0.250 0.250 0.250
Ga: 0.250 0.750 0.750
Ga: 0.750 0.250 0.750
Ga: 0.750 0.750 0.250


No. 12
## Mn3SiPd (PBE)

Data for an optimized crystal structure of Mn3SiPd.

Values from the calculation:
Formation energy without anion corrections: 4.97 eV per formula unit
DOS(E_F): 1.79 states/eV/atom
Final energy: -33.16 eV per cell

a b c (Å): 4.150 4.150 4.150
angles (deg): 90.00 90.00 90.00
Fractional positions:
Mn: 0.000 0.000 0.500
Mn: 0.000 0.500 0.000
Mn: 0.500 0.000 0.000
Si: 0.000 0.000 0.000
Pd: 0.500 0.500 0.500


> final energy of number 5 (In2Fe)?

-53.25 eV per cell


> Which of these has the highest final energy?

BaAcAg


> Which formula does entry 10 have?

Co2AsH